Entry 1:
The following is a GGA-PBEsol calculation of crystalline SrZr2Fe at its relaxed geometry, from Alexandria via LeMat-Bulk.

Relative energy among the computed polymorphs, meV/atom: 0
Space-group type: Immm
Energy of formation from the pure elements, eV/atom: 0.332

a b c (Å): 3.2522 5.5233 5.9292
angles (deg): 117.76 105.92 90.00
Element x y z (fractional)
Fe: 0.5000 0.0000 0.0000
Zr: 0.1889 0.1889 0.3778
Zr: 0.8111 0.8111 0.6222
Sr: 0.0000 0.5000 0.0000

***

Entry 2:
The following is a GGA-PBEsol calculation of crystalline AlTcBi2Ir at its relaxed geometry, from Alexandria via LeMat-Bulk.

Space-group type: P4/mmm
Energy of formation from the pure elements, eV/atom: 1.421

a b c (Å): 4.4437 5.2266 5.2266
angles (deg): 90.00 90.00 90.00
Element x y z (fractional)
Al: 0.0000 0.0000 0.0000
Ir: 0.5000 0.0000 0.0000
Tc: 0.5000 0.5000 0.5000
Bi: 0.0000 0.0000 0.5000
Bi: 0.0000 0.5000 0.0000

***

Entry 3:
The following is a GGA-PBEsol calculation of crystalline MgIn2Ga2 at its relaxed geometry, from Alexandria via LeMat-Bulk.

Space-group type: I4/mmm
Energy of formation from the pure elements, eV/atom: 0.053

a b c (Å): 4.4573 4.4573 6.6026
angles (deg): 109.73 109.73 90.00
Element x y z (fractional)
Mg: 0.0000 0.0000 0.0000
In: 0.2500 0.7500 0.5000
In: 0.7500 0.2500 0.5000
Ga: 0.3961 0.3961 0.7922
Ga: 0.6039 0.6039 0.2078

***

Entry 4:
The following is a GGA-PBEsol calculation of crystalline K2TlSe at its relaxed geometry, from Alexandria via LeMat-Bulk.

Relative energy among the computed polymorphs, meV/atom: 75
Uncorrected formation energy, eV/atom: -0.406
Space-group type: F-43m

a b c (Å): 5.6009 5.6009 5.6009
angles (deg): 60.00 60.00 60.00
Element x y z (fractional)
Tl: 0.2500 0.2500 0.2500
Se: 0.5000 0.5000 0.5000
K: 0.7500 0.7500 0.7500
K: 0.0000 0.0000 0.0000

***

Entry 5:
The following is a GGA-PBEsol calculation of crystalline LiTaP2 at its relaxed geometry, from Alexandria via LeMat-Bulk.

Relative energy among the computed polymorphs, meV/atom: 117
Space-group type: P4mm
Energy of formation from the pure elements, eV/atom: -0.453

a b c (Å): 3.4613 3.4612 4.9472
angles (deg): 90.06 90.00 90.00
Element x y z (fractional)
P: 0.5000 0.4997 0.3047
P: 0.0000 0.0003 0.9311
Ta: 0.0000 0.9999 0.4603
Li: 0.5000 0.5001 0.8038

***

Entry 6:
The following is a GGA-PBEsol calculation of crystalline CaCuAu2 at its relaxed geometry, from Alexandria via LeMat-Bulk.

Relative energy among the computed polymorphs, meV/atom: 0
Space-group type: R-3m
Energy of formation from the pure elements, eV/atom: -0.407

a b c (Å): 4.4017 4.4017 5.4039
angles (deg): 65.97 65.97 60.00
Element x y z (fractional)
Cu: 0.5000 0.5000 0.5000
Au: 0.7894 0.7894 0.6318
Au: 0.2106 0.2106 0.3682
Ca: 0.0000 0.0000 0.0000

***

Taking the records one at a time from the top gives raw total energy values of -6.91 -5.33 -2.82 -2.59 -6.98 -3.99 eV/atom.